Record 1
SeS6F2 | PBE | relaxed

Geometry as POSCAR:
```
SeS6F2
1.0
8.2848 -7.4706 0.0000
8.2848 7.4706 0.0000
-1.1536 0.0000 4.4811
Se S F
2 12 4
direct
0.2169 0.7831 0.7500
0.7831 0.2169 0.2500
0.0774 0.8324 0.3654
0.1518 0.4143 0.2066
0.1676 0.9226 0.1346
0.2920 0.5032 0.3518
0.4143 0.1518 0.7066
0.4968 0.7080 0.1482
0.5032 0.2920 0.8518
0.5857 0.8482 0.2934
0.7080 0.4968 0.6482
0.8324 0.0774 0.8654
0.8482 0.5857 0.7934
0.9226 0.1676 0.6346
0.1146 0.3581 0.4899
0.3581 0.1146 0.9899
0.6419 0.8854 0.0101
0.8854 0.6419 0.5101
```

The space group is C2/c (15). As for the total moment: 0.220 μB/atom. Its volume is 30.816 Å³/atom.

***

Record 2
CeHoPa4 | PBE | relaxed

Geometry as POSCAR:
```
CeHoPa4
1.0
0.0000 4.3151 4.3151
4.3151 0.0000 4.3151
4.3151 4.3151 0.0000
Ce Ho Pa
1 1 4
direct
0.0000 0.0000 0.0000
0.2500 0.2500 0.2500
0.1264 0.6245 0.6245
0.6245 0.1264 0.6245
0.6245 0.6245 0.1264
0.6245 0.6245 0.6245
```

The space group is F-43m (216). As for the total moment: 0.000 μB/atom. Its volume is 26.783 Å³/atom.

***

Record 3
Ta2IrW | PBE | relaxed

Geometry as POSCAR:
```
Ta2IrW
1.0
-1.6714 2.2844 4.3770
1.6714 -2.2844 4.3770
1.6714 2.2844 -4.3770
Ta Ir W
2 1 1
direct
0.2487 0.2487 0.0000
0.7513 0.7513 0.0000
0.5000 0.0000 0.5000
0.0000 0.5000 0.5000
```

The space group is Immm (71). As for the total moment: 0.000 μB/atom. Its volume is 16.712 Å³/atom.

***

Record 4
Ti5MnOs6 | PBE | relaxed

Geometry as POSCAR:
```
Ti5MnOs6
1.0
-2.1777 3.0790 6.5328
2.1777 -3.0790 6.5328
2.1777 3.0790 -6.5328
Ti Mn Os
5 1 6
direct
0.0000 0.0000 0.0000
0.1680 0.6680 0.5000
0.3374 0.3374 0.0000
0.6626 0.6626 0.0000
0.8320 0.3320 0.5000
0.5000 0.0000 0.5000
0.0829 0.8334 0.2495
0.2477 0.5000 0.7477
0.4161 0.1666 0.2495
0.5839 0.8334 0.7505
0.7523 0.5000 0.2523
0.9171 0.1666 0.7505
```

The space group is Immm (71). As for the total moment: 0.257 μB/atom. Its volume is 14.601 Å³/atom.

***

Record 5
AlCdS2 | PBE | relaxed

Geometry as POSCAR:
```
AlCdS2
1.0
1.7518 1.0114 7.8775
-1.7518 1.0114 7.8775
0.0000 -2.0228 7.8775
Al Cd S
1 1 2
direct
0.0000 0.0000 0.0000
0.5000 0.5000 0.5000
0.3883 0.3883 0.3883
0.6117 0.6117 0.6117
```

The space group is R-3m (166). As for the total moment: 0.000 μB/atom. Its volume is 20.936 Å³/atom.

***

Record 6
CeEuSe2 | PBE | relaxed

Geometry as POSCAR:
```
CeEuSe2
1.0
2.1221 1.2252 7.0459
-2.1221 1.2252 7.0459
0.0000 -2.4504 7.0459
Ce Eu Se
1 1 2
direct
0.0000 0.0000 0.0000
0.5000 0.5000 0.5000
0.2509 0.2509 0.2509
0.7491 0.7491 0.7491
```

The space group is R-3m (166). As for the total moment: 2.070 μB/atom. Its volume is 27.478 Å³/atom.

***

Record 7
Ho5ErHg6 | PBE | relaxed

Geometry as POSCAR:
```
Ho5ErHg6
1.0
2.6115 -7.8686 0.0000
2.6115 7.8686 0.0000
0.0000 0.0000 7.4170
Ho Er Hg
5 1 6
direct
0.0000 0.0000 0.0000
0.3331 0.6669 0.0000
0.3336 0.6664 0.5000
0.6664 0.3336 0.5000
0.6669 0.3331 0.0000
0.0000 0.0000 0.5000
0.1664 0.8336 0.2506
0.1664 0.8336 0.7494
0.5000 0.5000 0.2509
0.5000 0.5000 0.7491
0.8336 0.1664 0.2506
0.8336 0.1664 0.7494
```

The space group is Cmmm (65). As for the total moment: 0.000 μB/atom. Its volume is 25.402 Å³/atom.

***

Record 8
YPuGaIr | PBE | relaxed

Geometry as POSCAR:
```
YPuGaIr
1.0
0.0000 3.5089 3.5089
3.5089 0.0000 3.5089
3.5089 3.5089 0.0000
Y Pu Ga Ir
1 1 1 1
direct
0.0000 0.0000 0.0000
0.5000 0.5000 0.5000
0.7500 0.7500 0.7500
0.2500 0.2500 0.2500
```

The space group is F-43m (216). As for the total moment: 1.320 μB/atom. Its volume is 21.601 Å³/atom.

***

Number 1: electronic total energy -3.831 eV/atom. Number 2: electronic total energy -7.880 eV/atom. Number 3: electronic total energy -11.546 eV/atom. Number 4: electronic total energy -10.217 eV/atom. Number 5: electronic total energy -3.869 eV/atom. Number 6: electronic total energy -7.693 eV/atom. Number 7: electronic total energy -2.920 eV/atom. Number 8: electronic total energy -8.638 eV/atom.